Entry 1:
Below is crystalline AlH4NF4 at its relaxed geometry, with properties calculated at the GGA-PBEsol level.

Calculated values
**Mass density**: 2.5 g/cm³
**Final energy**: -5.397 eV/atom
**Size of the total moment**: 0.0 μB per formula unit
**Crystal system**: tetragonal
**D(E_F)**: 0.000 states/eV/cell
**Calculated volume**: 8.03 Å³ per atom

a b c (Å): 5.035 5.035 12.669
angles (deg): 90.00 90.00 90.00
Positions (direct):
Al (0.000, 0.500, 0.000)
Al (0.000, 0.500, 0.500)
Al (0.500, 0.000, 0.500)
Al (0.500, 0.000, 0.000)
N (0.500, 0.500, 0.250)
N (0.000, 0.000, 0.750)
N (0.000, 0.000, 0.250)
N (0.500, 0.500, 0.750)
F (0.000, 0.500, 0.859)
F (0.803, 0.198, 0.000)
F (0.302, 0.697, 0.500)
F (0.000, 0.500, 0.141)
F (0.500, 0.000, 0.641)
F (0.500, 0.000, 0.359)
F (0.198, 0.197, 0.500)
F (0.802, 0.803, 0.500)
F (0.698, 0.303, 0.500)
F (0.500, 0.000, 0.859)
F (0.697, 0.698, 0.000)
F (0.000, 0.500, 0.641)
F (0.500, 0.000, 0.141)
F (0.000, 0.500, 0.359)
F (0.303, 0.302, 0.000)
F (0.197, 0.802, 0.000)
H (0.501, 0.670, 0.203)
H (0.330, 0.501, 0.703)
H (0.670, 0.499, 0.297)
H (0.670, 0.499, 0.703)
H (0.499, 0.330, 0.797)
H (0.830, 0.999, 0.297)
H (0.830, 0.999, 0.703)
H (0.999, 0.170, 0.797)
H (0.501, 0.670, 0.797)
H (0.170, 0.001, 0.297)
H (0.499, 0.330, 0.203)
H (0.170, 0.001, 0.703)
H (0.001, 0.830, 0.797)
H (0.001, 0.830, 0.203)
H (0.999, 0.170, 0.203)
H (0.330, 0.501, 0.297)

Entry 2:
Below is crystalline LiGeN at its relaxed geometry, with properties calculated at the GGA-PBEsol level.

Calculated values
**Mass density**: 4.1 g/cm³
**Formation energy from raw total energies**: -37.4 kJ per mole of atoms
**Final energy**: -5.532 eV/atom
**Size of the total moment**: 0.0 μB per formula unit
**Crystal system**: orthorhombic
**D(E_F)**: 0.690 states/eV/cell
**Calculated volume**: 12.72 Å³ per atom
**Energy relative to the lowest polymorph listed for this composition**: 27 meV/atom

a b c (Å): 4.090 5.454 6.840
angles (deg): 90.00 90.00 90.00
Positions (direct):
N (0.250, 0.878, 0.345)
N (0.750, 0.122, 0.655)
N (0.250, 0.378, 0.155)
N (0.750, 0.622, 0.845)
Ge (0.750, 0.458, 0.607)
Ge (0.250, 0.042, 0.107)
Ge (0.750, 0.958, 0.893)
Ge (0.250, 0.542, 0.393)
Li (0.750, 0.424, 0.090)
Li (0.750, 0.924, 0.410)
Li (0.250, 0.076, 0.590)
Li (0.250, 0.576, 0.910)

Entry 3:
Below is crystalline Ni2HgIr at its relaxed geometry, with properties calculated at the GGA-PBEsol level.

Calculated values
**Mass density**: 15.6 g/cm³
**Final energy**: -5.365 eV/atom
**Size of the total moment**: 1.1 μB per formula unit
**Crystal system**: tetragonal
**D(E_F)**: 6.158 states/eV/cell
**Calculated volume**: 13.58 Å³ per atom

a b c (Å): 3.545 3.914 3.914
angles (deg): 90.00 90.00 90.00
Positions (direct):
Ir (0.500, 0.000, 0.000)
Ni (0.000, 0.000, 0.500)
Ni (0.000, 0.500, 0.000)
Hg (0.500, 0.500, 0.500)

Entry 4:
Below is crystalline SiINO2 at its relaxed geometry, with properties calculated at the GGA-PBEsol level.

Calculated values
**Mass density**: 4.8 g/cm³
**Formation energy from raw total energies**: 74.0 kJ per mole of atoms
**Final energy**: -4.540 eV/atom
**Size of the total moment**: 0.0 μB per formula unit
**Crystal system**: tetragonal
**D(E_F)**: 0.455 states/eV/cell
**Calculated volume**: 13.93 Å³ per atom

a b c (Å): 4.042 4.042 4.261
angles (deg): 90.00 90.00 90.00
Positions (direct):
O (0.000, 0.500, 0.000)
O (0.500, 0.000, 0.000)
Si (0.500, 0.500, 0.500)
N (0.000, 0.000, 0.500)
I (0.000, 0.000, 0.000)